Entry 1:
The following is a DFT calculation (PBE-GGA) of a relaxed structure of PmSm5Tl5.

Structure (POSCAR):
```
PmSm5Tl5
1.0
-3.6710 2.6884 -3.9683
2.5999 -7.7951 -3.0935
-5.7039 -2.2759 3.7347
Sm Pm Tl
5 1 5
direct
0.3599 0.7198 0.5955
0.0000 0.0000 0.5000
0.6401 0.2802 0.4045
0.6783 0.3567 0.9153
0.3217 0.6433 0.0847
0.0000 0.0000 0.0000
0.1743 0.3485 0.7328
0.8327 0.6653 0.7164
0.1673 0.3347 0.2836
0.8257 0.6515 0.2672
0.5000 0.0000 0.0000
```

SG = C2/m
ΔE_f = -0.134 eV/atom
total moment = 0.003 μB per cell
calculated total energy = -0.27831 Ry per atom
DOS(E_F) = 1.139 states/eV per atom



Entry 2:
The following is a DFT calculation (PBE-GGA) of a relaxed structure of Pm3Sm7Tl.

Structure (POSCAR):
```
Pm3Sm7Tl
1.0
8.6808 0.0000 0.0000
0.0000 7.0999 0.0000
0.0000 -3.5500 6.1487
Sm Pm Tl
7 3 1
direct
0.4464 0.3384 0.1692
0.1115 0.6667 0.3333
0.1232 0.6633 0.8317
0.1232 0.1683 0.8317
0.4464 0.8308 0.6616
0.4464 0.8308 0.1692
0.1232 0.1683 0.3367
0.7816 0.9991 0.4995
0.7816 0.5005 0.0009
0.7816 0.5005 0.4995
0.4503 0.3333 0.6667
```

SG = P3m1
ΔE_f = 0.123 eV/atom
total moment = 0.000 μB per cell
calculated total energy = -0.32272 Ry per atom
DOS(E_F) = 1.549 states/eV per atom